# BiPdF6 (PBE, optimized geometry)
data_BiPdF6
_chemical_formula_sum 'Bi1 Pd1 F6'
_cell_length_a 6.068
_cell_length_b 6.068
_cell_length_c 6.068
_cell_angle_alpha 60.00
_cell_angle_beta 60.00
_cell_angle_gamma 60.00
_symmetry_space_group_name_H-M 'P 1'
_symmetry_Int_Tables_number 1
loop_
_symmetry_equiv_pos_as_xyz
'x,y,z'
loop_
_atom_site_label
_atom_site_type_symbol
_atom_site_fract_x
_atom_site_fract_y
_atom_site_fract_z
Bi1 Bi 0.000 0.000 0.000
Pd1 Pd 0.500 0.500 0.500
F1 F 0.259 0.259 0.741
F2 F 0.259 0.741 0.259
F3 F 0.259 0.741 0.741
F4 F 0.741 0.259 0.259
F5 F 0.741 0.259 0.741
F6 F 0.741 0.741 0.259
# SG   No. 225
# Calculated density   4.5 g/cm³
# Formation energy (no corrections)   -1.82 eV/atom
# Total energy   -34.8 eV for the cell shown
# Magnetization   1.017 Bohr magnetons per cell